Entry 1:
First-principles (meta-GGA SCAN) data for a crystal of Sc2BeZnC relaxed with PBEsol, as listed in the Alexandria database.

Lattice parameters (Å, degrees): 4.558 4.558 3.457 90.00 90.00 90.00
Atoms (fractional coordinates):
Sc  0.000  0.500  0.000
Sc  0.500  0.000  0.000
Be  0.000  0.000  0.500
Zn  0.500  0.500  0.500
C  0.000  0.000  0.000

The value obtained for the spin magnetization is 0.00 μB per formula unit. Its total energy is -11.7189 eV per atom. The calculation puts the energy relative to the elements at -0.430 eV per atom.

=====

Entry 2:
First-principles (meta-GGA SCAN) data for a crystal of Mg2ZrNi2 relaxed with PBEsol, as listed in the Alexandria database.

Lattice parameters (Å, degrees): 6.458 6.458 6.458 146.75 146.75 47.74
Atoms (fractional coordinates):
Mg  0.250  0.750  0.500
Mg  0.750  0.250  0.500
Zr  0.000  0.000  0.000
Ni  0.405  0.405  0.000
Ni  0.595  0.595  0.000

The value obtained for the spin magnetization is 0.00 μB per formula unit. Its total energy is -14.6860 eV per atom. The calculation puts the energy relative to the elements at -0.087 eV per atom.

=====

Entry 3:
First-principles (meta-GGA SCAN) data for a crystal of RbGa2Ge2 relaxed with PBEsol, as listed in the Alexandria database.

Lattice parameters (Å, degrees): 6.068 6.068 6.068 134.52 134.52 66.28
Atoms (fractional coordinates):
Rb  0.000  0.000  0.000
Ga  0.250  0.750  0.500
Ga  0.750  0.250  0.500
Ge  0.373  0.373  0.000
Ge  0.627  0.627  0.000

The value obtained for the spin magnetization is 0.00 μB per formula unit. Its total energy is -18.4301 eV per atom. The calculation puts the energy relative to the elements at -0.109 eV per atom.

=====

Entry 4:
First-principles (meta-GGA SCAN) data for a crystal of Si2TcAg relaxed with PBEsol, as listed in the Alexandria database.

Lattice parameters (Å, degrees): 8.274 8.274 8.274 20.15 20.15 20.15
Atoms (fractional coordinates):
Si  0.242  0.242  0.242
Si  0.758  0.758  0.758
Tc  0.500  0.500  0.500
Ag  0.000  0.000  0.000

The uncorrected formation energy is 33 meV/atom. The value obtained for the spin magnetization is 0.00 μB per formula unit. The calculation puts the offset from the most stable computed form at 6.8 kJ per mole of atoms. Its total energy is -21.5816 eV per atom.

=====

Entry 5:
First-principles (meta-GGA SCAN) data for a crystal of Mg2ZrTl relaxed with PBEsol, as listed in the Alexandria database.

Lattice parameters (Å, degrees): 6.095 6.095 3.010 101.87 101.87 119.99
Atoms (fractional coordinates):
Mg  0.000  0.500  0.000
Mg  0.500  0.000  0.000
Zr  0.000  0.000  0.500
Tl  0.500  0.500  0.500

The value obtained for the spin magnetization is 0.00 μB per formula unit. The calculation puts the offset from the most stable computed form at 16.8 kJ per mole of atoms. Its total energy is -28.3146 eV per atom. The calculation puts the energy relative to the elements at -0.063 eV per atom.

=====

Entry 6:
First-principles (meta-GGA SCAN) data for a crystal of SiIr2Cl relaxed with PBEsol, as listed in the Alexandria database.

Lattice parameters (Å, degrees): 4.404 4.404 2.878 90.00 90.00 90.00
Atoms (fractional coordinates):
Si  0.000  0.000  0.000
Ir  0.000  0.500  0.500
Ir  0.500  0.000  0.500
Cl  0.500  0.500  0.000

The uncorrected formation energy is 768 meV/atom. The value obtained for the spin magnetization is 0.00 μB per formula unit. The calculation puts the offset from the most stable computed form at 25.5 kJ per mole of atoms. Its total energy is -39.2799 eV per atom.